1.
# Y3AgB, relaxed, DFT PBE
# Electronic total energy ... -29.10 eV for the cell shown
# Formation enthalpy at 0 K ... -0.0367 eV per atom
# N(E_F) ... 4.7 states/eV/cell
# Total magnetic moment ... 0.000 μB per atom
# Relative energy among the computed polymorphs ... 0 meV per atom
data_Y3AgB
_cell_length_a 5.041
_cell_length_b 5.041
_cell_length_c 5.041
_cell_angle_alpha 90.00
_cell_angle_beta 90.00
_cell_angle_gamma 90.00
_symmetry_space_group_name_H-M 'P 1'
_symmetry_Int_Tables_number 1
_symmetry_space_group_name_Hall 'P 1'
loop_
_atom_site_label
_atom_site_fract_x
_atom_site_fract_y
_atom_site_fract_z
Y1 0.000 0.000 0.500
Y2 0.000 0.500 0.000
Y3 0.500 0.000 0.000
Ag1 0.500 0.500 0.500
B1 0.000 0.000 0.000

=====

2.
# YAg3B, relaxed, DFT PBE
# Electronic total energy ... -21.06 eV for the cell shown
# Formation enthalpy at 0 K ... 0.1266 eV per atom
# N(E_F) ... 2.3 states/eV/cell
# Total magnetic moment ... 0.000 μB per atom
# Relative energy among the computed polymorphs ... 0 meV per atom
data_YAg3B
_cell_length_a 4.497
_cell_length_b 4.497
_cell_length_c 4.497
_cell_angle_alpha 90.00
_cell_angle_beta 90.00
_cell_angle_gamma 90.00
_symmetry_space_group_name_H-M 'P 1'
_symmetry_Int_Tables_number 1
_symmetry_space_group_name_Hall 'P 1'
loop_
_atom_site_label
_atom_site_fract_x
_atom_site_fract_y
_atom_site_fract_z
Y1 0.000 0.000 0.000
Ag1 0.000 0.500 0.500
Ag2 0.500 0.000 0.500
Ag3 0.500 0.500 0.000
B1 0.500 0.500 0.500

=====

3.
# YAg3B, relaxed, DFT PBE
# Electronic total energy ... -12.41 eV for the cell shown
# Formation enthalpy at 0 K ... 1.8572 eV per atom
# N(E_F) ... 3.3 states/eV/cell
# Total magnetic moment ... 0.000 μB per atom
# Relative energy among the computed polymorphs ... 1731 meV per atom
data_YAg3B
_cell_length_a 5.530
_cell_length_b 5.530
_cell_length_c 5.530
_cell_angle_alpha 90.00
_cell_angle_beta 90.00
_cell_angle_gamma 90.00
_symmetry_space_group_name_H-M 'P 1'
_symmetry_Int_Tables_number 1
_symmetry_space_group_name_Hall 'P 1'
loop_
_atom_site_label
_atom_site_fract_x
_atom_site_fract_y
_atom_site_fract_z
Y1 0.000 0.000 0.000
Ag1 0.000 0.000 0.500
Ag2 0.000 0.500 0.000
Ag3 0.500 0.000 0.000
B1 0.500 0.500 0.500

=====

4.
# Zn3AgB, relaxed, DFT PBE
# Electronic total energy ... -7.01 eV for the cell shown
# Formation enthalpy at 0 K ... 1.2691 eV per atom
# N(E_F) ... 2.5 states/eV/cell
# Total magnetic moment ... 0.000 μB per atom
# Relative energy among the computed polymorphs ... 961 meV per atom
data_Zn3AgB
_cell_length_a 4.848
_cell_length_b 4.848
_cell_length_c 4.848
_cell_angle_alpha 90.00
_cell_angle_beta 90.00
_cell_angle_gamma 90.00
_symmetry_space_group_name_H-M 'P 1'
_symmetry_Int_Tables_number 1
_symmetry_space_group_name_Hall 'P 1'
loop_
_atom_site_label
_atom_site_fract_x
_atom_site_fract_y
_atom_site_fract_z
Zn1 0.000 0.000 0.500
Zn2 0.000 0.500 0.000
Zn3 0.500 0.000 0.000
Ag1 0.000 0.000 0.000
B1 0.500 0.500 0.500

=====

5.
# ZnAg3B, relaxed, DFT PBE
# Electronic total energy ... -14.04 eV for the cell shown
# Formation enthalpy at 0 K ... 0.4929 eV per atom
# N(E_F) ... 2.1 states/eV/cell
# Total magnetic moment ... 0.000 μB per atom
# Relative energy among the computed polymorphs ... 0 meV per atom
data_ZnAg3B
_cell_length_a 4.361
_cell_length_b 4.361
_cell_length_c 4.361
_cell_angle_alpha 90.00
_cell_angle_beta 90.00
_cell_angle_gamma 90.00
_symmetry_space_group_name_H-M 'P 1'
_symmetry_Int_Tables_number 1
_symmetry_space_group_name_Hall 'P 1'
loop_
_atom_site_label
_atom_site_fract_x
_atom_site_fract_y
_atom_site_fract_z
Zn1 0.000 0.000 0.000
Ag1 0.000 0.500 0.500
Ag2 0.500 0.000 0.500
Ag3 0.500 0.500 0.000
B1 0.500 0.500 0.500

=====

6.
# ZnAg3B, relaxed, DFT PBE
# Electronic total energy ... -9.62 eV for the cell shown
# Formation enthalpy at 0 K ... 1.3765 eV per atom
# N(E_F) ... 1.9 states/eV/cell
# Total magnetic moment ... 0.000 μB per atom
# Relative energy among the computed polymorphs ... 884 meV per atom
data_ZnAg3B
_cell_length_a 4.831
_cell_length_b 4.831
_cell_length_c 4.831
_cell_angle_alpha 90.00
_cell_angle_beta 90.00
_cell_angle_gamma 90.00
_symmetry_space_group_name_H-M 'P 1'
_symmetry_Int_Tables_number 1
_symmetry_space_group_name_Hall 'P 1'
loop_
_atom_site_label
_atom_site_fract_x
_atom_site_fract_y
_atom_site_fract_z
Zn1 0.000 0.000 0.000
Ag1 0.000 0.000 0.500
Ag2 0.000 0.500 0.000
Ag3 0.500 0.000 0.000
B1 0.500 0.500 0.500

=====

7.
# Zn3AgB, relaxed, DFT PBE
# Electronic total energy ... -11.81 eV for the cell shown
# Formation enthalpy at 0 K ... 0.3077 eV per atom
# N(E_F) ... 1.5 states/eV/cell
# Total magnetic moment ... 0.000 μB per atom
# Relative energy among the computed polymorphs ... 0 meV per atom
data_Zn3AgB
_cell_length_a 4.207
_cell_length_b 4.207
_cell_length_c 4.207
_cell_angle_alpha 90.00
_cell_angle_beta 90.00
_cell_angle_gamma 90.00
_symmetry_space_group_name_H-M 'P 1'
_symmetry_Int_Tables_number 1
_symmetry_space_group_name_Hall 'P 1'
loop_
_atom_site_label
_atom_site_fract_x
_atom_site_fract_y
_atom_site_fract_z
Zn1 0.000 0.000 0.500
Zn2 0.000 0.500 0.000
Zn3 0.500 0.000 0.000
Ag1 0.500 0.500 0.500
B1 0.000 0.000 0.000

=====

8.
# ZnAgB2, relaxed, DFT PBE
# Electronic total energy ... -48.54 eV for the cell shown
# Formation enthalpy at 0 K ... 1.3366 eV per atom
# N(E_F) ... 7.3 states/eV/cell
# Total magnetic moment ... 0.000 μB per atom
data_ZnAgB2
_cell_length_a 5.733
_cell_length_b 5.733
_cell_length_c 6.793
_cell_angle_alpha 90.00
_cell_angle_beta 90.00
_cell_angle_gamma 90.00
_symmetry_space_group_name_H-M 'P 1'
_symmetry_Int_Tables_number 1
_symmetry_space_group_name_Hall 'P 1'
loop_
_atom_site_label
_atom_site_fract_x
_atom_site_fract_y
_atom_site_fract_z
Zn1 0.000 0.000 0.000
Zn2 0.000 0.500 0.250
Zn3 0.500 0.000 0.750
Zn4 0.500 0.500 0.500
Ag1 0.000 0.000 0.500
Ag2 0.000 0.500 0.750
Ag3 0.500 0.000 0.250
Ag4 0.500 0.500 0.000
B1 0.237 0.250 0.125
B2 0.250 0.737 0.375
B3 0.250 0.763 0.875
B4 0.263 0.250 0.625
B5 0.737 0.750 0.625
B6 0.750 0.237 0.875
B7 0.750 0.263 0.375
B8 0.763 0.750 0.125

=====

9.
# Zr3AgB, relaxed, DFT PBE
# Electronic total energy ... -35.74 eV for the cell shown
# Formation enthalpy at 0 K ... -0.1127 eV per atom
# N(E_F) ... 4.5 states/eV/cell
# Total magnetic moment ... 0.000 μB per atom
# Relative energy among the computed polymorphs ... 0 meV per atom
data_Zr3AgB
_cell_length_a 4.632
_cell_length_b 4.632
_cell_length_c 4.632
_cell_angle_alpha 90.00
_cell_angle_beta 90.00
_cell_angle_gamma 90.00
_symmetry_space_group_name_H-M 'P 1'
_symmetry_Int_Tables_number 1
_symmetry_space_group_name_Hall 'P 1'
loop_
_atom_site_label
_atom_site_fract_x
_atom_site_fract_y
_atom_site_fract_z
Zr1 0.000 0.000 0.500
Zr2 0.000 0.500 0.000
Zr3 0.500 0.000 0.000
Ag1 0.500 0.500 0.500
B1 0.000 0.000 0.000

=====

10.
# Zr2AgB, relaxed, DFT PBE
# Electronic total energy ... -103.56 eV for the cell shown
# Formation enthalpy at 0 K ... 0.1835 eV per atom
# N(E_F) ... 2.9 states/eV/cell
# Total magnetic moment ... 0.000 μB per atom
data_Zr2AgB
_cell_length_a 7.017
_cell_length_b 7.017
_cell_length_c 6.155
_cell_angle_alpha 90.00
_cell_angle_beta 90.00
_cell_angle_gamma 90.00
_symmetry_space_group_name_H-M 'P 1'
_symmetry_Int_Tables_number 1
_symmetry_space_group_name_Hall 'P 1'
loop_
_atom_site_label
_atom_site_fract_x
_atom_site_fract_y
_atom_site_fract_z
Zr1 0.186 0.750 0.125
Zr2 0.250 0.186 0.875
Zr3 0.250 0.314 0.375
Zr4 0.314 0.750 0.625
Zr5 0.686 0.250 0.625
Zr6 0.750 0.686 0.375
Zr7 0.750 0.814 0.875
Zr8 0.814 0.250 0.125
Ag1 0.000 0.000 0.500
Ag2 0.000 0.500 0.750
Ag3 0.500 0.000 0.250
Ag4 0.500 0.500 0.000
B1 0.000 0.000 0.000
B2 0.000 0.500 0.250
B3 0.500 0.000 0.750
B4 0.500 0.500 0.500